Record 1
DFT (GGA-PBE) results for crystalline OsPt3O at its relaxed geometry.

Output
Space-group type ... Pm-3m
Formation energy without anion corrections ... 1.92 eV/atom
D(E_F) ... 6.964 states/eV/cell
Crystal system ... cubic
VASP energy ... -4.938 eV per atom
Energy above the most stable polymorph in this dataset ... 949 meV/atom

Cell: 4.800 4.800 4.800 Å, 90.00 90.00 90.00°
Atoms (fractional coordinates):
1 Os 0.000 0.000 0.000
2 Pt 0.000 0.000 0.500
3 Pt 0.000 0.500 0.000
4 Pt 0.500 0.000 0.000
5 O 0.500 0.500 0.500

***

Record 2
DFT (GGA-PBE) results for crystalline OsPtO2 at its relaxed geometry.

Output
Space-group type ... R-3m
Formation energy without anion corrections ... -0.24 eV/atom
D(E_F) ... 2.364 states/eV/cell
Crystal system ... trigonal
VASP energy ... -7.041 eV per atom
Energy above the most stable polymorph in this dataset ... 0 meV/atom

Cell: 6.916 6.916 6.916 Å, 23.63 23.63 23.63°
Atoms (fractional coordinates):
1 Os 0.000 0.000 0.000
2 Pt 0.500 0.500 0.500
3 O 0.398 0.398 0.398
4 O 0.602 0.602 0.602

***

Record 3
DFT (GGA-PBE) results for crystalline RbOs2PtO8 at its relaxed geometry.

Output
Space-group type ... C2/m
Formation energy without anion corrections ... -0.88 eV/atom
D(E_F) ... 4.452 states/eV/cell
Crystal system ... monoclinic
VASP energy ... -6.646 eV per atom

Cell: 5.078 5.078 8.543 Å, 97.07 97.07 74.04°
Atoms (fractional coordinates):
1 Rb 0.000 0.000 0.000
2 Os 0.397 0.397 0.713
3 Os 0.603 0.603 0.287
4 Pt 0.000 0.000 0.500
5 O 0.242 0.735 0.309
6 O 0.252 0.252 0.525
7 O 0.265 0.758 0.691
8 O 0.319 0.319 0.894
9 O 0.681 0.681 0.106
10 O 0.735 0.242 0.309
11 O 0.748 0.748 0.475
12 O 0.758 0.265 0.691

***

Record 4
DFT (GGA-PBE) results for crystalline TaOsPtO2 at its relaxed geometry.

Output
Space-group type ... P4/mmm
Formation energy without anion corrections ... 0.71 eV/atom
D(E_F) ... 5.516 states/eV/cell
Crystal system ... tetragonal
VASP energy ... -7.098 eV per atom

Cell: 3.787 3.787 5.435 Å, 90.00 90.00 90.00°
Atoms (fractional coordinates):
1 Ta 0.000 0.000 0.000
2 Os 0.500 0.500 0.000
3 Pt 0.500 0.500 0.500
4 O 0.000 0.500 0.500
5 O 0.500 0.000 0.500

***

Record 5
DFT (GGA-PBE) results for crystalline TlOsPtO6 at its relaxed geometry.

Output
Space-group type ... Imma
Formation energy without anion corrections ... -0.75 eV/atom
D(E_F) ... 8.390 states/eV/cell
Crystal system ... orthorhombic
VASP energy ... -6.238 eV per atom

Cell: 7.200 7.200 7.200 Å, 120.96 118.94 90.10°
Atoms (fractional coordinates):
1 Tl 0.361 0.111 0.250
2 Tl 0.639 0.889 0.750
3 Os 0.000 0.500 0.500
4 Os 0.500 0.500 0.000
5 Pt 0.000 0.000 0.500
6 Pt 0.000 0.500 0.000
7 O 0.086 0.436 0.268
8 O 0.086 0.818 0.650
9 O 0.088 0.838 0.250
10 O 0.297 0.547 0.750
11 O 0.332 0.182 0.768
12 O 0.332 0.564 0.150
13 O 0.668 0.436 0.850
14 O 0.668 0.818 0.232
15 O 0.703 0.453 0.250
16 O 0.912 0.162 0.750
17 O 0.914 0.182 0.350
18 O 0.914 0.564 0.732

***

Record 6
DFT (GGA-PBE) results for crystalline TlOs2PtO8 at its relaxed geometry.

Output
Space-group type ... C2/m
Formation energy without anion corrections ... -0.73 eV/atom
D(E_F) ... 3.711 states/eV/cell
Crystal system ... monoclinic
VASP energy ... -6.610 eV per atom

Cell: 5.276 5.276 7.186 Å, 104.20 104.20 79.57°
Atoms (fractional coordinates):
1 Tl 0.000 0.000 0.000
2 Os 0.452 0.452 0.760
3 Os 0.548 0.548 0.240
4 Pt 0.000 0.000 0.500
5 O 0.224 0.679 0.277
6 O 0.253 0.253 0.545
7 O 0.321 0.776 0.723
8 O 0.343 0.343 0.948
9 O 0.657 0.657 0.052
10 O 0.679 0.224 0.277
11 O 0.747 0.747 0.455
12 O 0.776 0.321 0.723

***

Record 7
DFT (GGA-PBE) results for crystalline PuOsO6 at its relaxed geometry.

Output
Space-group type ... C2/m
Formation energy without anion corrections ... -1.61 eV/atom
D(E_F) ... 3.169 states/eV/cell
Crystal system ... monoclinic
VASP energy ... -8.527 eV per atom

Cell: 5.373 5.373 5.096 Å, 96.97 96.97 123.28°
Atoms (fractional coordinates):
1 Pu 0.000 0.000 0.000
2 Os 0.500 0.500 0.500
3 O 0.126 0.394 0.258
4 O 0.272 0.272 0.726
5 O 0.394 0.126 0.258
6 O 0.606 0.874 0.742
7 O 0.728 0.728 0.274
8 O 0.874 0.606 0.742

***

Record 8
DFT (GGA-PBE) results for crystalline Rb2PuOsO6 at its relaxed geometry.

Output
Space-group type ... Fm-3m
Formation energy without anion corrections ... -1.85 eV/atom
D(E_F) ... 10.018 states/eV/cell
Crystal system ... cubic
VASP energy ... -7.574 eV per atom

Cell: 5.894 5.894 5.894 Å, 60.00 60.00 60.00°
Atoms (fractional coordinates):
1 Rb 0.250 0.250 0.250
2 Rb 0.750 0.750 0.750
3 Pu 0.000 0.000 0.000
4 Os 0.500 0.500 0.500
5 O 0.264 0.264 0.736
6 O 0.264 0.736 0.264
7 O 0.264 0.736 0.736
8 O 0.736 0.264 0.264
9 O 0.736 0.264 0.736
10 O 0.736 0.736 0.264

***

Record 9
DFT (GGA-PBE) results for crystalline Rb2PuOs3O12 at its relaxed geometry.

Output
Space-group type ... R-3m
Formation energy without anion corrections ... -1.55 eV/atom
D(E_F) ... 8.693 states/eV/cell
Crystal system ... trigonal
VASP energy ... -7.634 eV per atom

Cell: 7.470 7.470 7.470 Å, 58.29 58.29 58.29°
Atoms (fractional coordinates):
1 Rb 0.121 0.121 0.121
2 Rb 0.879 0.879 0.879
3 Pu 0.500 0.500 0.500
4 Os 0.000 0.500 0.500
5 Os 0.500 0.000 0.500
6 Os 0.500 0.500 0.000
7 O 0.160 0.576 0.576
8 O 0.195 0.195 0.573
9 O 0.195 0.573 0.195
10 O 0.424 0.424 0.840
11 O 0.424 0.840 0.424
12 O 0.427 0.805 0.805
13 O 0.573 0.195 0.195
14 O 0.576 0.160 0.576
15 O 0.576 0.576 0.160
16 O 0.805 0.427 0.805
17 O 0.805 0.805 0.427
18 O 0.840 0.424 0.424

***

Record 10
DFT (GGA-PBE) results for crystalline Rb2Pu3OsO12 at its relaxed geometry.

Output
Space-group type ... R-3m
Formation energy without anion corrections ... -2.21 eV/atom
D(E_F) ... 10.393 states/eV/cell
Crystal system ... trigonal
VASP energy ... -8.637 eV per atom

Cell: 7.651 7.651 7.651 Å, 61.18 61.18 61.18°
Atoms (fractional coordinates):
1 Rb 0.125 0.125 0.125
2 Rb 0.875 0.875 0.875
3 Pu 0.000 0.500 0.500
4 Pu 0.500 0.000 0.500
5 Pu 0.500 0.500 0.000
6 Os 0.500 0.500 0.500
7 O 0.178 0.178 0.565
8 O 0.178 0.565 0.178
9 O 0.206 0.560 0.560
10 O 0.435 0.822 0.822
11 O 0.440 0.440 0.794
12 O 0.440 0.794 0.440
13 O 0.560 0.206 0.560
14 O 0.560 0.560 0.206
15 O 0.565 0.178 0.178
16 O 0.794 0.440 0.440
17 O 0.822 0.435 0.822
18 O 0.822 0.822 0.435

***

Record 11
DFT (GGA-PBE) results for crystalline PuTlOsO6 at its relaxed geometry.

Output
Space-group type ... Imma
Formation energy without anion corrections ... -1.64 eV/atom
D(E_F) ... 11.250 states/eV/cell
Crystal system ... orthorhombic
VASP energy ... -8.052 eV per atom

Cell: 7.531 7.531 7.531 Å, 121.76 118.27 90.00°
Atoms (fractional coordinates):
1 Pu 0.000 0.000 0.000
2 Pu 0.500 0.000 0.500
3 Tl 0.378 0.628 0.750
4 Tl 0.622 0.372 0.250
5 Os 0.000 0.000 0.500
6 Os 0.000 0.500 0.000
7 O 0.038 0.288 0.750
8 O 0.054 0.336 0.139
9 O 0.054 0.914 0.718
10 O 0.303 0.086 0.639
11 O 0.303 0.664 0.218
12 O 0.330 0.080 0.250
13 O 0.670 0.920 0.750
14 O 0.697 0.336 0.782
15 O 0.697 0.914 0.361
16 O 0.946 0.086 0.282
17 O 0.946 0.664 0.861
18 O 0.962 0.712 0.250

***

Record 12
DFT (GGA-PBE) results for crystalline Rb3OsO4 at its relaxed geometry.

Output
Space-group type ... Pmn2_1
Formation energy without anion corrections ... -1.32 eV/atom
D(E_F) ... 4.639 states/eV/cell
Crystal system ... orthorhombic
VASP energy ... -5.567 eV per atom

Cell: 9.466 6.315 5.890 Å, 90.00 90.00 90.00°
Atoms (fractional coordinates):
1 Rb 0.000 0.189 0.000
2 Rb 0.250 0.293 0.473
3 Rb 0.250 0.707 0.973
4 Rb 0.500 0.811 0.500
5 Rb 0.750 0.293 0.473
6 Rb 0.750 0.707 0.973
7 Os 0.000 0.779 0.451
8 Os 0.500 0.221 0.951
9 O 0.000 0.051 0.542
10 O 0.000 0.565 0.245
11 O 0.200 0.758 0.479
12 O 0.300 0.242 0.979
13 O 0.500 0.435 0.745
14 O 0.500 0.949 0.042
15 O 0.700 0.242 0.979
16 O 0.800 0.758 0.479

***

Record 13
DFT (GGA-PBE) results for crystalline RbOsO2 at its relaxed geometry.

Output
Space-group type ... I-42d
Formation energy without anion corrections ... -0.57 eV/atom
D(E_F) ... 7.698 states/eV/cell
Crystal system ... tetragonal
VASP energy ... -6.097 eV per atom

Cell: 6.710 6.710 6.710 Å, 134.64 134.64 66.09°
Atoms (fractional coordinates):
1 Rb 0.000 0.000 0.000
2 Rb 0.750 0.250 0.500
3 Os 0.250 0.750 0.500
4 Os 0.500 0.500 0.000
5 O 0.301 0.625 0.176
6 O 0.375 0.551 0.676
7 O 0.449 0.125 0.824
8 O 0.875 0.699 0.324

***

Record 14
DFT (GGA-PBE) results for crystalline Rb3Os2O8 at its relaxed geometry.

Output
Space-group type ... R-3m
Formation energy without anion corrections ... -1.34 eV/atom
D(E_F) ... 11.469 states/eV/cell
Crystal system ... trigonal
VASP energy ... -6.344 eV per atom

Cell: 8.399 8.399 8.399 Å, 44.27 44.27 44.27°
Atoms (fractional coordinates):
1 Rb 0.000 0.000 0.000
2 Rb 0.200 0.200 0.200
3 Rb 0.800 0.800 0.800
4 Os 0.405 0.405 0.405
5 Os 0.595 0.595 0.595
6 O 0.260 0.721 0.721
7 O 0.279 0.279 0.740
8 O 0.279 0.740 0.279
9 O 0.327 0.327 0.327
10 O 0.673 0.673 0.673
11 O 0.721 0.260 0.721
12 O 0.721 0.721 0.260
13 O 0.740 0.279 0.279

***

Record 15
DFT (GGA-PBE) results for crystalline Rb3OsO at its relaxed geometry.

Output
Space-group type ... Pm-3m
Formation energy without anion corrections ... 0.65 eV/atom
D(E_F) ... 23.356 states/eV/cell
Crystal system ... cubic
VASP energy ... -3.172 eV per atom
Energy above the most stable polymorph in this dataset ... 0 meV/atom

Cell: 5.614 5.614 5.614 Å, 90.00 90.00 90.00°
Atoms (fractional coordinates):
1 Rb 0.000 0.000 0.500
2 Rb 0.000 0.500 0.000
3 Rb 0.500 0.000 0.000
4 Os 0.500 0.500 0.500
5 O 0.000 0.000 0.000

***

Record 16
DFT (GGA-PBE) results for crystalline RbOsO3 at its relaxed geometry.

Output
Space-group type ... R-3
Formation energy without anion corrections ... -1.19 eV/atom
D(E_F) ... 6.564 states/eV/cell
Crystal system ... trigonal
VASP energy ... -6.607 eV per atom

Cell: 7.036 7.036 7.036 Å, 46.30 46.30 46.30°
Atoms (fractional coordinates):
1 Rb 0.134 0.134 0.134
2 Rb 0.866 0.866 0.866
3 Os 0.334 0.334 0.334
4 Os 0.666 0.666 0.666
5 O 0.055 0.467 0.648
6 O 0.352 0.945 0.533
7 O 0.467 0.648 0.055
8 O 0.533 0.352 0.945
9 O 0.648 0.055 0.467
10 O 0.945 0.533 0.352

***

Record 17
DFT (GGA-PBE) results for crystalline Rb5OsO5 at its relaxed geometry.

Output
Space-group type ... C2
Formation energy without anion corrections ... -1.16 eV/atom
D(E_F) ... 2.561 states/eV/cell
Crystal system ... monoclinic
VASP energy ... -4.876 eV per atom
Energy above the most stable polymorph in this dataset ... 0 meV/atom

Cell: 6.599 6.599 8.092 Å, 97.33 97.33 56.59°
Atoms (fractional coordinates):
1 Rb 0.000 0.000 0.000
2 Rb 0.332 0.308 0.653
3 Rb 0.344 0.330 0.238
4 Rb 0.670 0.656 0.762
5 Rb 0.692 0.668 0.347
6 Os 0.043 0.957 0.500
7 O 0.179 0.095 0.376
8 O 0.338 0.662 0.500
9 O 0.821 0.008 0.320
10 O 0.905 0.821 0.624
11 O 0.992 0.179 0.680

***

Record 18
DFT (GGA-PBE) results for crystalline Rb4OsO6 at its relaxed geometry.

Output
Space-group type ... R-3c
Formation energy without anion corrections ... -1.38 eV/atom
Crystal system ... trigonal
VASP energy ... -5.459 eV per atom

Cell: 7.664 7.664 7.664 Å, 88.44 88.44 88.44°
Atoms (fractional coordinates):
1 Rb 0.113 0.750 0.387
2 Rb 0.250 0.250 0.250
3 Rb 0.250 0.613 0.887
4 Rb 0.387 0.113 0.750
5 Rb 0.613 0.887 0.250
6 Rb 0.750 0.387 0.113
7 Rb 0.750 0.750 0.750
8 Rb 0.887 0.250 0.613
9 Os 0.000 0.000 0.000
10 Os 0.500 0.500 0.500
11 O 0.054 0.938 0.767
12 O 0.062 0.233 0.946
13 O 0.233 0.946 0.062
14 O 0.267 0.438 0.554
15 O 0.438 0.554 0.267
16 O 0.446 0.733 0.562
17 O 0.554 0.267 0.438
18 O 0.562 0.446 0.733
19 O 0.733 0.562 0.446
20 O 0.767 0.054 0.938
21 O 0.938 0.767 0.054
22 O 0.946 0.062 0.233

***

Record 19
DFT (GGA-PBE) results for crystalline Rb5OsO5 at its relaxed geometry.

Output
Space-group type ... C2/m
Formation energy without anion corrections ... -1.03 eV/atom
D(E_F) ... 1.066 states/eV/cell
Crystal system ... monoclinic
VASP energy ... -4.747 eV per atom
Energy above the most stable polymorph in this dataset ... 129 meV/atom

Cell: 6.713 6.713 7.539 Å, 105.91 105.91 48.53°
Atoms (fractional coordinates):
1 Rb 0.000 0.000 0.000
2 Rb 0.328 0.328 0.206
3 Rb 0.330 0.330 0.657
4 Rb 0.670 0.670 0.343
5 Rb 0.672 0.672 0.794
6 Os 0.000 0.000 0.500
7 O 0.116 0.116 0.740
8 O 0.118 0.118 0.377
9 O 0.500 0.500 0.500
10 O 0.882 0.882 0.623
11 O 0.884 0.884 0.260

***

Record 20
DFT (GGA-PBE) results for crystalline Rb2OsO4 at its relaxed geometry.

Output
Space-group type ... Fmm2
Formation energy without anion corrections ... -1.37 eV/atom
Crystal system ... orthorhombic
VASP energy ... -6.082 eV per atom

Cell: 6.307 6.268 6.601 Å, 58.63 58.05 63.32°
Atoms (fractional coordinates):
1 Rb 0.000 0.000 0.500
2 Rb 0.500 0.500 0.000
3 Os 0.248 0.248 0.752
4 O 0.130 0.495 0.505
5 O 0.366 0.998 0.634
6 O 0.495 0.130 0.870
7 O 0.998 0.366 0.002

***

Record 21
DFT (GGA-PBE) results for crystalline RbOsO3 at its relaxed geometry.

Output
Space-group type ... Pm-3m
Formation energy without anion corrections ... -1.09 eV/atom
D(E_F) ... 3.222 states/eV/cell
Crystal system ... cubic
VASP energy ... -6.508 eV per atom

Cell: 3.944 3.944 3.944 Å, 90.00 90.00 90.00°
Atoms (fractional coordinates):
1 Rb 0.000 0.000 0.000
2 Os 0.500 0.500 0.500
3 O 0.000 0.500 0.500
4 O 0.500 0.000 0.500
5 O 0.500 0.500 0.000